Density functional theory data (PBE-GGA) for a geometry-optimized ZnBiPd2C structure.

a = 4.6282 Å, b = 4.6282 Å, c = 5.2128 Å
α = 90.00°, β = 90.00°, γ = 90.00°
Closest atoms and distances in Å follow each position.
Atoms (fractional coordinates):
Zn (0.0000, 0.0000, 0.0000)  4 Pd 2.31
Bi (0.0000, 0.0000, 0.5000)  2 Zn 2.61
Pd (0.0000, 0.5000, 0.0000)  2 Zn 2.31
Pd (0.5000, 0.0000, 0.0000)  2 Zn 2.31
C (0.5000, 0.5000, 0.5000)  4 Bi 3.27, 8 Pd 3.49

Formation enthalpy at 0 K = 1681 meV per atom
Electronic total energy = -3.272 eV/atom
Symmetry = No. 123
Total magnetic moment = 0.1292 μB/atom